Al2Ir: optimized geometry, PBE.

a b c (Å): 5.703 3.913 8.109
angles (deg): 90.00 90.00 90.00
Sites, in units of the cell vectors:
Al1 0.061 0.250 0.152
Al2 0.152 0.250 0.530
Al3 0.348 0.750 0.030
Al4 0.439 0.750 0.652
Al5 0.561 0.250 0.348
Al6 0.652 0.250 0.970
Al7 0.848 0.750 0.470
Al8 0.939 0.750 0.848
Ir1 0.249 0.750 0.337
Ir2 0.251 0.250 0.837
Ir3 0.749 0.750 0.163
Ir4 0.751 0.250 0.663

Calculated values
* symmetry: Pnma (62)
* E_tot: -6.237 eV per atom